Material: ScTcIr2
Method: DFT, PBE-GGA
State: optimized geometry

Lattice parameters (Å, degrees): 6.334 4.762 2.850 89.94 63.36 122.07
Positions (direct):
Sc  0.000  0.500  0.500
Ir  0.000  0.000  0.000
Tc  0.500  0.500  0.000
Ir  0.500  0.000  0.500

## Properties
* DFT total energy: -9.04 eV per atom
* space-group type: Cmmm
* crystal system: orthorhombic
* ΔE to the lowest computed polymorph: 0.06 eV/f.u.
* energy of formation: -0.44 eV per atom